Record 1
# CsCdSbBr2 PBE optimized geometry
# Fermi-level density of states: 0.29 states/eV/atom
# Formation energy (no corrections): -60 kJ/mol of atoms
# Total magnetization: 0.00 μB per cell
data_CsCdSbBr2
_cell_length_a 6.050
_cell_length_b 6.050
_cell_length_c 5.741
_cell_angle_alpha 90.00
_cell_angle_beta 90.00
_cell_angle_gamma 90.00
_space_group_name_H-M_alt 'P 4/m m m'
_space_group_IT_number 123
_space_group_name_Hall '-P 4 2'
loop_
_atom_site_label
_atom_site_type_symbol
_atom_site_fract_x
_atom_site_fract_y
_atom_site_fract_z
Cs1 Cs 0.000 0.000 0.000
Cd1 Cd 0.500 0.500 0.000
Sb1 Sb 0.500 0.500 0.500
Br1 Br 0.000 0.500 0.500

Record 2
# Cs2CdSbBr6 PBE optimized geometry
# Fermi-level density of states: 0.26 states/eV/atom
# Formation energy (no corrections): -106 kJ/mol of atoms
# Total magnetization: 0.00 μB per cell
data_Cs2CdSbBr6
_cell_length_a 8.163
_cell_length_b 8.163
_cell_length_c 11.485
_cell_angle_alpha 90.00
_cell_angle_beta 90.00
_cell_angle_gamma 90.00
_space_group_name_H-M_alt 'I 4/m m m'
_space_group_IT_number 139
_space_group_name_Hall '-I 4 2'
loop_
_atom_site_label
_atom_site_type_symbol
_atom_site_fract_x
_atom_site_fract_y
_atom_site_fract_z
Cs1 Cs 0.000 0.500 0.250
Cd1 Cd 0.000 0.000 0.000
Sb1 Sb 0.000 0.000 0.500
Br1 Br 0.000 0.000 0.250
Br2 Br 0.248 0.248 0.500